MoW2AuO | GGA+U | optimized geometry

- VASP energy: -26.30 eV/cell
- Calculated volume: 85.88 Å³/cell
- Space-group type: No. 123

The structure in POSCAR format:
```
MoW2AuO
1.0
4.137 0.000 0.000
0.000 4.137 0.000
0.000 0.000 5.018
Mo W Au O
1 2 1 1
Direct
0.000 0.000 0.000 Mo
0.000 0.500 0.500 W
0.500 0.000 0.500 W
0.500 0.500 0.000 Au
0.500 0.500 0.500 O
```